BeSi2Os: relaxed, PBE-GGA.

Cell and atoms, written as POSCAR:
```
BeSi2Os
1.0
-3.174 -1.991 1.084
-0.176 -1.187 -2.697
2.478 -3.955 -0.008
Si Os Be
2 1 1
Direct
0.000 0.966 0.955
0.500 0.273 0.320
0.500 0.555 0.764
0.000 0.707 0.462
```

## Properties
Formation energy (no corrections) = -0.0888 eV/atom
Fermi-level density of states = 2.17 states/eV/cell
Crystal system = monoclinic
M_tot = 0.00 Bohr magnetons per cell